DyCdMoO6 (GGA+U, optimized geometry); space group = P312, No. 149; energy = -6.487 eV/atom
1.0
4.6672 0.0000 0.0000
0.0000 5.5890 0.0000
0.0000 -2.7945 4.8403
O Mo Cd Dy
6 1 1 1
Direct
0.2714 0.9998 0.7081 O
0.7286 0.9998 0.2918 O
0.2714 0.7082 0.0002 O
0.7286 0.7082 0.7081 O
0.2714 0.2919 0.2918 O
0.7286 0.2919 0.0002 O
0.5000 0.0000 0.0000 Mo
0.0000 0.3333 0.6667 Cd
0.5000 0.6667 0.3333 Dy